No. 1
Material: MgCoBPb2
Method: DFT, PBE-GGA
State: optimized geometry

## Properties
Energy of formation ... 0.50 eV/atom

a = 5.063 Å, b = 5.063 Å, c = 3.790 Å
α = 90.00°, β = 90.00°, γ = 90.00°
Sites, in units of the cell vectors:
1 Mg 0.000 0.000 0.000
2 Co 0.500 0.500 0.500
3 B 0.500 0.500 0.000
4 Pb 0.000 0.500 0.500
5 Pb 0.500 0.000 0.500

***

No. 2
Material: Mg2CoBPb
Method: DFT, PBE-GGA
State: optimized geometry

## Properties
Energy of formation ... 1.60 eV/atom

a = 5.458 Å, b = 5.458 Å, c = 4.525 Å
α = 90.00°, β = 90.00°, γ = 90.00°
Sites, in units of the cell vectors:
1 Mg 0.000 0.500 0.000
2 Mg 0.500 0.000 0.000
3 Co 0.000 0.000 0.500
4 B 0.500 0.500 0.500
5 Pb 0.500 0.500 0.000

***

No. 3
Material: MgCoBPt2
Method: DFT, PBE-GGA
State: optimized geometry

## Properties
Energy of formation ... -0.41 eV/atom

a = 4.191 Å, b = 4.191 Å, c = 3.869 Å
α = 90.00°, β = 90.00°, γ = 90.00°
Sites, in units of the cell vectors:
1 Mg 0.000 0.000 0.000
2 Co 0.500 0.500 0.000
3 B 0.500 0.500 0.500
4 Pt 0.000 0.500 0.500
5 Pt 0.500 0.000 0.500

***

No. 4
Material: MgCoBRh2
Method: DFT, PBE-GGA
State: optimized geometry

## Properties
Energy of formation ... -0.31 eV/atom

a = 4.111 Å, b = 4.111 Å, c = 3.886 Å
α = 90.00°, β = 90.00°, γ = 90.00°
Sites, in units of the cell vectors:
1 Mg 0.000 0.000 0.000
2 Co 0.500 0.500 0.000
3 B 0.500 0.500 0.500
4 Rh 0.000 0.500 0.500
5 Rh 0.500 0.000 0.500

***

No. 5
Material: Mg2CoB2Rh5
Method: DFT, PBE-GGA
State: optimized geometry

## Properties
Energy of formation ... -0.46 eV/atom

a = 9.420 Å, b = 9.420 Å, c = 2.893 Å
α = 90.00°, β = 90.00°, γ = 90.00°
Sites, in units of the cell vectors:
1 Mg 0.176 0.324 0.000
2 Mg 0.324 0.824 0.000
3 Mg 0.676 0.176 0.000
4 Mg 0.824 0.676 0.000
5 Co 0.000 0.000 0.000
6 Co 0.500 0.500 0.000
7 B 0.127 0.627 0.000
8 B 0.373 0.127 0.000
9 B 0.627 0.873 0.000
10 B 0.873 0.373 0.000
11 Rh 0.000 0.500 0.500
12 Rh 0.071 0.785 0.500
13 Rh 0.215 0.071 0.500
14 Rh 0.285 0.571 0.500
15 Rh 0.429 0.285 0.500
16 Rh 0.500 0.000 0.500
17 Rh 0.571 0.715 0.500
18 Rh 0.715 0.429 0.500
19 Rh 0.785 0.929 0.500
20 Rh 0.929 0.215 0.500

***

No. 6
Material: MgCo2BRh
Method: DFT, PBE-GGA
State: optimized geometry

## Properties
Energy of formation ... -0.20 eV/atom

a = 3.870 Å, b = 3.870 Å, c = 4.091 Å
α = 90.00°, β = 90.00°, γ = 90.00°
Sites, in units of the cell vectors:
1 Mg 0.000 0.000 0.000
2 Co 0.000 0.500 0.500
3 Co 0.500 0.000 0.500
4 B 0.500 0.500 0.500
5 Rh 0.500 0.500 0.000

***

No. 7
Material: MgCo2BRu
Method: DFT, PBE-GGA
State: optimized geometry

## Properties
Energy of formation ... -0.05 eV/atom

a = 3.895 Å, b = 3.895 Å, c = 4.073 Å
α = 90.00°, β = 90.00°, γ = 90.00°
Sites, in units of the cell vectors:
1 Mg 0.000 0.000 0.000
2 Co 0.000 0.500 0.500
3 Co 0.500 0.000 0.500
4 B 0.500 0.500 0.500
5 Ru 0.500 0.500 0.000

***

No. 8
Material: Mg2CoBRu
Method: DFT, PBE-GGA
State: optimized geometry

## Properties
Energy of formation ... 1.33 eV/atom

a = 4.669 Å, b = 4.669 Å, c = 4.244 Å
α = 90.00°, β = 90.00°, γ = 90.00°
Sites, in units of the cell vectors:
1 Mg 0.000 0.500 0.000
2 Mg 0.500 0.000 0.000
3 Co 0.000 0.000 0.000
4 B 0.500 0.500 0.500
5 Ru 0.000 0.000 0.500

***

No. 9
Material: MgCo2BS
Method: DFT, PBE-GGA
State: optimized geometry

## Properties
Total energy ... -23.35 eV for the cell shown

a = 4.135 Å, b = 4.135 Å, c = 3.952 Å
α = 90.00°, β = 90.00°, γ = 90.00°
Sites, in units of the cell vectors:
1 Mg 0.000 0.000 0.000
2 Co 0.000 0.500 0.500
3 Co 0.500 0.000 0.500
4 B 0.500 0.500 0.000
5 S 0.500 0.500 0.500

***

No. 10
Material: Mg2CoBSb
Method: DFT, PBE-GGA
State: optimized geometry

## Properties
Total energy ... -19.16 eV for the cell shown

a = 4.972 Å, b = 4.972 Å, c = 3.773 Å
α = 90.00°, β = 90.00°, γ = 90.00°
Sites, in units of the cell vectors:
1 Mg 0.000 0.500 0.000
2 Mg 0.500 0.000 0.000
3 Co 0.000 0.000 0.000
4 B 0.000 0.000 0.500
5 Sb 0.500 0.500 0.500

***

No. 11
Material: MgSc2Co5B2
Method: DFT, PBE-GGA
State: optimized geometry

## Properties
Energy of formation ... -0.42 eV/atom

a = 8.905 Å, b = 8.905 Å, c = 2.963 Å
α = 90.00°, β = 90.00°, γ = 90.00°
Sites, in units of the cell vectors:
1 Mg 0.000 0.000 0.000
2 Mg 0.500 0.500 0.000
3 Sc 0.176 0.324 0.000
4 Sc 0.324 0.824 0.000
5 Sc 0.676 0.176 0.000
6 Sc 0.824 0.676 0.000
7 Co 0.000 0.500 0.500
8 Co 0.069 0.770 0.500
9 Co 0.230 0.069 0.500
10 Co 0.270 0.569 0.500
11 Co 0.431 0.270 0.500
12 Co 0.500 0.000 0.500
13 Co 0.569 0.730 0.500
14 Co 0.730 0.431 0.500
15 Co 0.770 0.931 0.500
16 Co 0.931 0.230 0.500
17 B 0.120 0.620 0.000
18 B 0.380 0.120 0.000
19 B 0.620 0.880 0.000
20 B 0.880 0.380 0.000

***

No. 12
Material: MgScCoB2
Method: DFT, PBE-GGA
State: optimized geometry

## Properties
Energy of formation ... 1.52 eV/atom

a = 4.414 Å, b = 4.414 Å, c = 4.399 Å
α = 90.00°, β = 90.00°, γ = 90.00°
Sites, in units of the cell vectors:
1 Mg 0.000 0.000 0.000
2 Sc 0.500 0.500 0.500
3 Co 0.500 0.500 0.000
4 B 0.000 0.500 0.500
5 B 0.500 0.000 0.500

***

No. 13
Material: Mg2Co5Si2B
Method: DFT, PBE-GGA
State: optimized geometry

## Properties
Total energy ... -116.89 eV for the cell shown

a = 9.310 Å, b = 9.310 Å, c = 2.680 Å
α = 90.00°, β = 90.00°, γ = 90.00°
Sites, in units of the cell vectors:
1 Mg 0.169 0.331 0.000
2 Mg 0.331 0.831 0.000
3 Mg 0.669 0.169 0.000
4 Mg 0.831 0.669 0.000
5 Co 0.000 0.500 0.500
6 Co 0.055 0.823 0.500
7 Co 0.177 0.055 0.500
8 Co 0.323 0.555 0.500
9 Co 0.445 0.323 0.500
10 Co 0.500 0.000 0.500
11 Co 0.555 0.677 0.500
12 Co 0.677 0.445 0.500
13 Co 0.823 0.945 0.500
14 Co 0.945 0.177 0.500
15 Si 0.138 0.638 0.000
16 Si 0.362 0.138 0.000
17 Si 0.638 0.862 0.000
18 Si 0.862 0.362 0.000
19 B 0.000 0.000 0.000
20 B 0.500 0.500 0.000

***

No. 14
Material: Mg2Co5SnB2
Method: DFT, PBE-GGA
State: optimized geometry

## Properties
Energy of formation ... -0.23 eV/atom

a = 8.988 Å, b = 8.988 Å, c = 2.881 Å
α = 90.00°, β = 90.00°, γ = 90.00°
Sites, in units of the cell vectors:
1 Mg 0.177 0.323 0.000
2 Mg 0.323 0.823 0.000
3 Mg 0.677 0.177 0.000
4 Mg 0.823 0.677 0.000
5 Co 0.000 0.500 0.500
6 Co 0.070 0.770 0.500
7 Co 0.230 0.070 0.500
8 Co 0.270 0.570 0.500
9 Co 0.430 0.270 0.500
10 Co 0.500 0.000 0.500
11 Co 0.570 0.730 0.500
12 Co 0.730 0.430 0.500
13 Co 0.770 0.930 0.500
14 Co 0.930 0.230 0.500
15 Sn 0.000 0.000 0.000
16 Sn 0.500 0.500 0.000
17 B 0.118 0.618 0.000
18 B 0.382 0.118 0.000
19 B 0.618 0.882 0.000
20 B 0.882 0.382 0.000

***

No. 15
Material: MgCo2BTe
Method: DFT, PBE-GGA
State: optimized geometry

## Properties
Total energy ... -15.33 eV for the cell shown

a = 4.551 Å, b = 4.551 Å, c = 5.216 Å
α = 90.00°, β = 90.00°, γ = 90.00°
Sites, in units of the cell vectors:
1 Mg 0.000 0.000 0.000
2 Co 0.000 0.500 0.000
3 Co 0.500 0.000 0.000
4 B 0.500 0.500 0.500
5 Te 0.000 0.000 0.500

***

No. 16
Material: MgCoBTe2
Method: DFT, PBE-GGA
State: optimized geometry

## Properties
Total energy ... -19.57 eV for the cell shown

a = 5.032 Å, b = 5.032 Å, c = 3.819 Å
α = 90.00°, β = 90.00°, γ = 90.00°
Sites, in units of the cell vectors:
1 Mg 0.000 0.000 0.000
2 Co 0.500 0.500 0.000
3 B 0.500 0.500 0.500
4 Te 0.000 0.500 0.500
5 Te 0.500 0.000 0.500

***

No. 17
Material: Mg2Co5B2W
Method: DFT, PBE-GGA
State: optimized geometry

## Properties
Energy of formation ... -0.18 eV/atom

a = 8.806 Å, b = 8.806 Å, c = 2.879 Å
α = 90.00°, β = 90.00°, γ = 90.00°
Sites, in units of the cell vectors:
1 Mg 0.177 0.323 0.000
2 Mg 0.323 0.823 0.000
3 Mg 0.677 0.177 0.000
4 Mg 0.823 0.677 0.000
5 Co 0.000 0.500 0.500
6 Co 0.069 0.778 0.500
7 Co 0.222 0.069 0.500
8 Co 0.278 0.569 0.500
9 Co 0.431 0.278 0.500
10 Co 0.500 0.000 0.500
11 Co 0.569 0.722 0.500
12 Co 0.722 0.431 0.500
13 Co 0.778 0.931 0.500
14 Co 0.931 0.222 0.500
15 B 0.117 0.617 0.000
16 B 0.383 0.117 0.000
17 B 0.617 0.883 0.000
18 B 0.883 0.383 0.000
19 W 0.000 0.000 0.000
20 W 0.500 0.500 0.000

***

No. 18
Material: Y2MgCoB
Method: DFT, PBE-GGA
State: optimized geometry

## Properties
Energy of formation ... -0.17 eV/atom

a = 5.146 Å, b = 5.146 Å, c = 3.815 Å
α = 90.00°, β = 90.00°, γ = 90.00°
Sites, in units of the cell vectors:
1 Y 0.000 0.500 0.000
2 Y 0.500 0.000 0.000
3 Mg 0.000 0.000 0.500
4 Co 0.500 0.500 0.500
5 B 0.500 0.500 0.000

***

No. 19
Material: MgZn2CoB
Method: DFT, PBE-GGA
State: optimized geometry

## Properties
Energy of formation ... 0.14 eV/atom

a = 4.118 Å, b = 4.118 Å, c = 3.941 Å
α = 90.00°, β = 90.00°, γ = 90.00°
Sites, in units of the cell vectors:
1 Mg 0.000 0.000 0.000
2 Zn 0.000 0.500 0.500
3 Zn 0.500 0.000 0.500
4 Co 0.500 0.500 0.000
5 B 0.500 0.500 0.500

***

No. 20
Material: MnCo10B3
Method: DFT, PBE-GGA
State: optimized geometry

## Properties
Energy of formation ... -0.14 eV/atom

a = 7.344 Å, b = 7.344 Å, c = 7.344 Å
α = 60.00°, β = 60.00°, γ = 60.00°
Sites, in units of the cell vectors:
1 Mn 0.250 0.250 0.250
2 Mn 0.750 0.750 0.750
3 Co 0.000 0.000 0.337
4 Co 0.000 0.000 0.663
5 Co 0.000 0.337 0.000
6 Co 0.000 0.337 0.663
7 Co 0.000 0.663 0.000
8 Co 0.000 0.663 0.337
9 Co 0.143 0.619 0.619
10 Co 0.337 0.000 0.000
11 Co 0.337 0.000 0.663
12 Co 0.337 0.663 0.000
13 Co 0.381 0.381 0.381
14 Co 0.381 0.381 0.857
15 Co 0.381 0.857 0.381
16 Co 0.619 0.143 0.619
17 Co 0.619 0.619 0.143
18 Co 0.619 0.619 0.619
19 Co 0.663 0.000 0.000
20 Co 0.663 0.000 0.337
21 Co 0.663 0.337 0.000
22 Co 0.857 0.381 0.381
23 B 0.276 0.276 0.724
24 B 0.276 0.724 0.276
25 B 0.276 0.724 0.724
26 B 0.724 0.276 0.276
27 B 0.724 0.276 0.724
28 B 0.724 0.724 0.276